An optimized crystal structure of Pr2TmGa12Co3, computed with GGA-PBE.

Calculated values
**Total magnetic moment**: 0.001 μB/f.u.
**DFT formation energy**: -0.06 eV per atom
**Calculated volume**: 394.9 Å³ per cell

Cell: 7.9374 7.9374 7.9374 Å, 65.36 65.36 65.36°
Fractional positions:
Pr  0.0859  0.0859  0.0859
Pr  0.9141  0.9141  0.9141
Tm  0.5000  0.5000  0.5000
Ga  0.0409  0.6610  0.6610
Ga  0.2234  0.2234  0.5952
Ga  0.2234  0.5952  0.2234
Ga  0.3390  0.3390  0.9591
Ga  0.3390  0.9591  0.3390
Ga  0.4048  0.7766  0.7766
Ga  0.5952  0.2234  0.2234
Ga  0.6610  0.0409  0.6610
Ga  0.6610  0.6610  0.0409
Ga  0.7766  0.4048  0.7766
Ga  0.7766  0.7766  0.4048
Ga  0.9591  0.3390  0.3390
Co  0.0000  0.5000  0.5000
Co  0.5000  0.0000  0.5000
Co  0.5000  0.5000  0.0000